Record 1
Material: Ce5YN6
Method: DFT, PBE-GGA
State: optimized geometry

As for the uncorrected formation energy: -1.5247 eV per atom.

The space group is C2/m (No. 12) and the conventional cell measures 6.156, 10.662 and 6.156 Å, with angles of 90.00, 109.44 and 90.00 degrees. Symmetry generates all atoms from Ce at (0.000, 0.000, 0.000), Ce at (0.000, 0.167, 0.500), Ce at (0.000, 0.333, 0.000), Y at (0.000, 0.500, 0.500), N at (0.248, 0.500, 0.250) and N at (0.249, 0.334, 0.748).

=====

Record 2
Material: Pm5ThPt4
Method: DFT, PBE-GGA
State: optimized geometry

The energy relative to the elements is -0.90 eV per atom.

The space group is C2/m (No. 12) and the conventional cell measures 18.129, 4.211 and 8.114 Å, with angles of 90.00, 106.01 and 90.00 degrees. Symmetry generates all atoms from Pm at (0.000, 0.000, 0.000), Pm at (0.166, 0.500, 0.355), Pm at (0.167, 0.500, 0.847), Th at (0.000, 0.000, 0.500), Pt at (0.002, 0.500, 0.754) and Pt at (0.170, 0.000, 0.607).

=====

Record 3
Material: FeCo2TcH
Method: DFT, PBE-GGA
State: optimized geometry

Its distance to the lowest polymorph of the same formula is 48 meV per atom.

The space group is P4/mmm (No. 123) and the conventional cell measures 3.552, 3.552 and 3.794 Å, with angles of 90.00, 90.00 and 90.00 degrees. Symmetry generates all atoms from Fe at (0.000, 0.000, 0.000), Co at (0.000, 0.500, 0.500), Tc at (0.500, 0.500, 0.000) and H at (0.500, 0.500, 0.500).

=====

Record 4
Material: MgInAg2S4
Method: DFT, PBE-GGA
State: optimized geometry

As for the uncorrected formation energy: -0.5001 eV per atom.

The space group is P1 (No. 1) and the conventional cell measures 5.844, 5.845 and 7.020 Å, with angles of 114.56, 114.57 and 90.00 degrees. Symmetry generates all atoms from Mg at (0.000, 0.000, 0.000), In at (0.249, 0.749, 0.500), Ag at (0.500, 0.499, 0.000), Ag at (0.750, 0.249, 0.501), S at (0.124, 0.634, 0.753), S at (0.365, 0.371, 0.247), S at (0.628, 0.118, 0.753) and S at (0.881, 0.875, 0.247).

=====

Record 5
Material: NdDyZnRh
Method: DFT, PBE-GGA
State: optimized geometry

Its distance to the lowest polymorph of the same formula is 0 meV per atom. The energy relative to the elements is -0.55 eV per atom.

The space group is Amm2 (No. 38) and the conventional cell measures 4.414, 3.943 and 10.759 Å, with angles of 90.00, 90.00 and 90.00 degrees. Symmetry generates all atoms from Nd at (0.000, 0.000, 0.000), Dy at (0.500, 0.000, 0.720), Zn at (0.500, 0.000, 0.427) and Rh at (0.000, 0.000, 0.281).

=====

Record 6
Material: ErHfZr
Method: DFT, PBE-GGA
State: optimized geometry

Its distance to the lowest polymorph of the same formula is 18 meV per atom. The energy relative to the elements is 0.11 eV per atom.

The space group is Cmcm (No. 63) and the conventional cell measures 4.516, 14.822 and 4.510 Å, with angles of 90.00, 90.00 and 90.00 degrees. Symmetry generates all atoms from Er at (0.000, 0.250, 0.250), Hf at (0.000, 0.072, 0.750) and Zr at (0.000, 0.427, 0.750).

=====

Record 7
Material: Cs2SiSbSe4
Method: DFT, PBE-GGA
State: optimized geometry

As for the uncorrected formation energy: -0.6400 eV per atom.

The space group is Fddd (No. 70, origin choice 2) and the conventional cell measures 7.196, 14.392 and 24.987 Å, with angles of 90.00, 90.00 and 90.00 degrees. Symmetry generates all atoms from Cs at (0.125, 0.125, 0.300), Si at (0.125, 0.125, 0.625), Sb at (0.125, 0.125, 0.125) and Se at (0.064, 0.277, 0.827).

=====

Record 8
Material: Zn2GePdAu
Method: DFT, PBE-GGA
State: optimized geometry

The energy relative to the elements is 0.47 eV per atom.

The space group is P4/mmm (No. 123) and the conventional cell measures 4.826, 4.826 and 4.876 Å, with angles of 90.00, 90.00 and 90.00 degrees. Symmetry generates all atoms from Zn at (0.000, 0.500, 0.000), Ge at (0.000, 0.000, 0.500), Pd at (0.500, 0.500, 0.500) and Au at (0.000, 0.000, 0.000).

=====

Record 9
Material: CsY2Cu
Method: DFT, PBE-GGA
State: optimized geometry

Its distance to the lowest polymorph of the same formula is 0 meV per atom. The energy relative to the elements is 0.62 eV per atom.

The space group is Fm-3m (No. 225) and the conventional cell measures 7.628, 7.628 and 7.628 Å, with angles of 90.00, 90.00 and 90.00 degrees. Symmetry generates all atoms from Cs at (0.000, 0.000, 0.000), Y at (0.250, 0.250, 0.250) and Cu at (0.000, 0.000, 0.500).

=====

Record 10
Material: BaTe2Au
Method: DFT, PBE-GGA
State: optimized geometry

As for the uncorrected formation energy: -0.5987 eV per atom. Its distance to the lowest polymorph of the same formula is 250 meV per atom.

The space group is P4mm (No. 99) and the conventional cell measures 4.327, 4.327 and 7.433 Å, with angles of 90.00, 90.00 and 90.00 degrees. Symmetry generates all atoms from Ba at (0.000, 0.000, 0.000), Te at (0.000, 0.000, 0.541), Te at (0.500, 0.500, 0.178) and Au at (0.500, 0.500, 0.556).

=====

Record 11
Material: Th2Cd3Cu2
Method: DFT, PBE-GGA
State: optimized geometry

The energy relative to the elements is -0.12 eV per atom.

The space group is C2/m (No. 12) and the conventional cell measures 10.234, 4.401 and 7.091 Å, with angles of 90.00, 94.99 and 90.00 degrees. Symmetry generates all atoms from Th at (0.123, 0.000, 0.357), Cd at (0.000, 0.500, 0.000), Cd at (0.186, 0.000, 0.861) and Cu at (0.086, 0.500, 0.642).

=====

Record 12
Material: SrMnNbP2
Method: DFT, PBE-GGA
State: optimized geometry

The energy relative to the elements is -0.78 eV per atom.

The space group is I-4m2 (No. 119) and the conventional cell measures 3.940, 3.940 and 12.712 Å, with angles of 90.00, 90.00 and 90.00 degrees. Symmetry generates all atoms from Sr at (0.000, 0.000, 0.000), Mn at (0.000, 0.500, 0.250), Nb at (0.000, 0.500, 0.750) and P at (0.000, 0.000, 0.368).

=====

Record 13
Material: CaZrBe2
Method: DFT, PBE-GGA
State: optimized geometry

Its distance to the lowest polymorph of the same formula is 173 meV per atom. The energy relative to the elements is 0.31 eV per atom.

The space group is P4mm (No. 99) and the conventional cell measures 2.996, 2.996 and 7.985 Å, with angles of 90.00, 90.00 and 90.00 degrees. Symmetry generates all atoms from Ca at (0.000, 0.000, 0.000), Zr at (0.500, 0.500, 0.378), Be at (0.000, 0.000, 0.604) and Be at (0.500, 0.500, 0.719).

=====

Record 14
Material: Y5CuTe4
Method: DFT, PBE-GGA
State: optimized geometry

As for the uncorrected formation energy: -1.1088 eV per atom.

The space group is I4/m (No. 87) and the conventional cell measures 9.642, 9.642 and 6.125 Å, with angles of 90.00, 90.00 and 90.00 degrees. Symmetry generates all atoms from Y at (0.000, 0.000, 0.000), Y at (0.097, 0.272, 0.500), Cu at (0.000, 0.000, 0.500) and Te at (0.089, 0.308, 0.000).

=====

Record 15
Material: KMn2Ni
Method: DFT, PBE-GGA
State: optimized geometry

Its distance to the lowest polymorph of the same formula is 229 meV per atom. The energy relative to the elements is 0.80 eV per atom.

The space group is Immm (No. 71) and the conventional cell measures 2.815, 5.437 and 10.476 Å, with angles of 90.00, 90.00 and 90.00 degrees. Symmetry generates all atoms from K at (0.000, 0.000, 0.000), Mn at (0.000, 0.500, 0.195) and Ni at (0.000, 0.000, 0.500).

=====

Record 16
Material: Sm2ZrZn2Rh5
Method: DFT, PBE-GGA
State: optimized geometry

The energy relative to the elements is -0.67 eV per atom.

The space group is P4/mbm (No. 127) and the conventional cell measures 9.939, 9.939 and 3.612 Å, with angles of 90.00, 90.00 and 90.00 degrees. Symmetry generates all atoms from Sm at (0.173, 0.327, 0.000), Zr at (0.000, 0.000, 0.000), Zn at (0.124, 0.624, 0.000), Rh at (0.000, 0.500, 0.500) and Rh at (0.067, 0.796, 0.500).

=====

Record 17
Material: Nb4Zn2Ir
Method: DFT, PBE-GGA
State: optimized geometry

The energy relative to the elements is 0.95 eV per atom.

The space group is I4/mmm (No. 139) and the conventional cell measures 4.883, 4.883 and 12.745 Å, with angles of 90.00, 90.00 and 90.00 degrees. Symmetry generates all atoms from Nb at (0.000, 0.000, 0.195), Nb at (0.000, 0.500, 0.000), Zn at (0.000, 0.000, 0.395) and Ir at (0.000, 0.000, 0.000).

=====

Record 18
Material: Cu2Te4Pt
Method: DFT, PBE-GGA
State: optimized geometry

As for the uncorrected formation energy: -0.1458 eV per atom.

The space group is Imma (No. 74) and the conventional cell measures 7.613, 8.064 and 11.396 Å, with angles of 90.00, 90.00 and 90.00 degrees. Symmetry generates all atoms from Cu at (0.000, 0.250, 0.141), Cu at (0.250, 0.250, 0.750), Te at (0.000, 0.017, 0.738), Te at (0.238, 0.250, 0.508) and Pt at (0.000, 0.000, 0.500).

=====

Record 19
Material: YRe2B6
Method: DFT, PBE-GGA
State: optimized geometry

The energy relative to the elements is -0.39 eV per atom.

The space group is Immm (No. 71) and the conventional cell measures 3.121, 6.808 and 8.631 Å, with angles of 90.00, 90.00 and 90.00 degrees. Symmetry generates all atoms from Y at (0.000, 0.000, 0.000), Re at (0.000, 0.500, 0.159), B at (0.000, 0.162, 0.500) and B at (0.000, 0.245, 0.310).

=====

Record 20
Material: Sm2YHo2Er2
Method: DFT, PBE-GGA
State: optimized geometry

The energy relative to the elements is 0.15 eV per atom.

The space group is C2/m (No. 12) and the conventional cell measures 17.599, 3.491 and 8.402 Å, with angles of 90.00, 116.95 and 90.00 degrees. Symmetry generates all atoms from Sm at (0.149, 0.000, 0.388), Y at (0.000, 0.500, 0.500), Ho at (0.071, 0.000, 0.908) and Er at (0.210, 0.500, 0.799).